Record 1
Density functional theory data (PBE-GGA) for a relaxed structure of Sc2FeC.

Cell: 7.9047 7.9047 7.9047 Å, 23.44 23.44 23.44°
Last column: nearest neighbours and their distance in Å.
Element x y z (fractional)
Sc (0.8875, 0.8875, 0.8875)  3 C 2.23
Sc (0.1125, 0.1125, 0.1125)  3 C 2.23
C (0.5000, 0.5000, 0.5000)  6 Sc 2.23
Fe (0.0000, 0.0000, 0.0000)  2 Sc 2.59

Output
Energy of formation from the pure elements   105 meV per atom


Record 2
Density functional theory data (PBE-GGA) for a relaxed structure of ScCdRu2C.

Cell: 4.1073 4.1073 4.4151 Å, 90.00 90.00 90.00°
Last column: nearest neighbours and their distance in Å.
Element x y z (fractional)
Sc (0.0000, 0.0000, 0.5000)  2 C 2.21
Ru (0.0000, 0.5000, 0.0000)  2 C 2.05
Ru (0.5000, 0.0000, 0.0000)  2 C 2.05
C (0.0000, 0.0000, 0.0000)  4 Ru 2.05, 2 Sc 2.21
Cd (0.5000, 0.5000, 0.5000)  4 Sc 2.90, 8 Ru 3.02

Output
Energy of formation from the pure elements   -146 meV per atom


Record 3
Density functional theory data (PBE-GGA) for a relaxed structure of InSb2As2.

Cell: 5.5165 5.5165 5.9261 Å, 62.26 62.26 90.00°
Last column: nearest neighbours and their distance in Å.
Element x y z (fractional)
Sb (0.7500, 0.2500, 0.5000)  4 As 2.91
Sb (0.2500, 0.7500, 0.5000)  4 As 2.91
As (0.3553, 0.3553, 0.2894)  1 As 2.58
As (0.6447, 0.6447, 0.7106)  1 As 2.58
In (0.0000, 0.0000, 0.0000)  2 As 3.17, 8 Sb 3.55

Output
ΔE to the lowest computed polymorph   0.002 eV per atom
E_form (uncorrected)   0.1679 eV/atom


Record 4
Density functional theory data (PBE-GGA) for a relaxed structure of NaYCr2Si.

Cell: 4.9703 5.3536 4.9703 Å, 90.00 90.00 90.00°
Last column: nearest neighbours and their distance in Å.
Element x y z (fractional)
Y (0.0000, 0.0000, 0.0000)  4 Cr 2.49, 2 Na 2.68
Cr (0.0000, 0.0000, 0.5000)  2 Y 2.49
Cr (0.5000, 0.0000, 0.0000)  2 Y 2.49
Si (0.5000, 0.5000, 0.5000)  4 Na 3.51, 8 Cr 3.65
Na (0.0000, 0.5000, 0.0000)  2 Y 2.68

Output
E_form (uncorrected)   1.8886 eV/atom


Record 5
Density functional theory data (PBE-GGA) for a relaxed structure of GdAl2Ga.

Cell: 4.3227 4.2620 4.2620 Å, 90.00 90.00 90.00°
Last column: nearest neighbours and their distance in Å.
Element x y z (fractional)
Gd (0.5000, 0.5000, 0.5000)  4 Ga 3.01, 8 Al 3.04
Al (0.0000, 0.0000, 0.5000)  4 Al 3.01, 4 Gd 3.04, 4 Ga 3.04
Al (0.0000, 0.5000, 0.0000)  4 Al 3.01, 4 Gd 3.04, 4 Ga 3.04
Ga (0.5000, 0.0000, 0.0000)  4 Gd 3.01, 8 Al 3.04

Output
Energy of formation from the pure elements   -446 meV per atom


Record 6
Density functional theory data (PBE-GGA) for a relaxed structure of YTaSe.

Cell: 4.5857 4.5857 4.5857 Å, 60.00 60.00 60.00°
Last column: nearest neighbours and their distance in Å.
Element x y z (fractional)
Se (0.2500, 0.2500, 0.2500)  4 Ta 2.81, 4 Y 2.81
Ta (0.0000, 0.0000, 0.0000)  4 Se 2.81
Y (0.5000, 0.5000, 0.5000)  4 Se 2.81

Output
ΔE to the lowest computed polymorph   0.495 eV per atom
E_form (uncorrected)   0.0216 eV/atom